No. 1
24
Lattice="-3.789 2.180 -0.678 -5.280 -6.666 8.067 3.234 8.449 9.098" Properties=species:S:1:pos:R:3 comment="RbPrFeSe3, relaxed, DFT GGA-PBE" magnetic_moment_mub_per_cell=16.00 energy_ev_per_cell=-125.66 pbc="T T T"
Se -3.769 -1.739 8.252
Se 0.026 5.881 11.551
Se -1.987 4.638 4.374
Se -3.848 -0.676 12.114
Se -4.129 1.439 6.054
Se -2.066 5.702 8.236
Se -4.430 3.091 13.048
Se -1.405 0.871 3.440
Se -1.706 2.524 10.433
Se 1.435 7.164 7.807
Se -5.861 -1.918 4.937
Se -7.269 -3.201 8.681
Pr -2.921 -1.199 5.254
Pr -0.781 7.168 5.771
Pr -5.053 -3.205 10.716
Pr -2.914 5.161 11.234
Rb -2.113 3.410 15.560
Rb -1.048 2.629 7.096
Rb -3.722 0.552 0.927
Rb -4.787 1.334 9.392
Fe -6.096 -1.575 7.356
Fe 0.262 5.538 9.132
Fe -3.171 2.503 4.124
Fe -2.663 1.460 12.364

No. 2
6
Lattice="-0.023 0.050 -4.010 -2.510 -2.413 1.990 -6.045 6.382 0.115" Properties=species:S:1:pos:R:3 comment="Sr2CuNiP2, relaxed, DFT GGA-PBE" magnetic_moment_mub_per_cell=0.01 energy_ev_per_cell=-28.52 pbc="T T T"
P 0.000 0.000 0.000
P -3.875 2.420 -1.952
Sr -3.223 0.036 0.019
Sr -6.184 3.162 0.076
Ni -3.023 3.191 0.057
Cu -0.852 -0.771 -2.010

No. 3
32
Lattice="5.770 0.000 0.000 0.000 4.154 0.000 -0.067 0.000 37.718" Properties=species:S:1:pos:R:3 comment="GaAg15, relaxed, DFT GGA-PBE" e_above_lowest_polymorph_ev_per_fu=0.37 pbc="T T T"
Ag 5.017 3.116 16.623
Ag 0.698 1.039 15.146
Ag 5.029 3.116 10.690
Ag 2.145 3.116 10.696
Ag 0.673 1.039 27.028
Ag 5.006 3.116 25.552
Ag 0.671 1.039 29.962
Ag 3.575 1.039 18.110
Ag 2.141 3.116 13.668
Ag 2.116 3.116 25.553
Ag 3.572 1.039 9.092
Ag 3.557 1.039 27.023
Ag 0.722 1.039 9.098
Ag 3.587 1.039 12.165
Ag 2.127 3.116 22.580
Ag 5.005 3.116 22.573
Ag 5.032 3.116 7.756
Ag 5.015 3.116 19.606
Ag 0.685 1.039 21.095
Ag 2.136 3.116 16.639
Ag 0.688 1.039 18.112
Ag 3.562 1.039 24.050
Ag 2.130 3.116 28.626
Ag 5.023 3.116 13.652
Ag 3.567 1.039 21.079
Ag 2.127 3.116 19.609
Ag 3.575 1.039 15.138
Ag 0.679 1.039 24.067
Ag 0.697 1.039 12.166
Ag 4.981 3.116 28.620
Ga 3.548 1.039 29.931
Ga 2.155 3.116 7.787

No. 4
20
Lattice="2.760 0.000 0.000 0.000 2.760 0.000 0.000 0.000 43.074" Properties=species:S:1:pos:R:3 comment="Cu9Pb, relaxed, DFT GGA-PBE" e_above_lowest_polymorph_ev_per_fu=0.51 pbc="T T T"
Cu 1.380 0.000 27.023
Cu 1.380 0.000 11.301
Cu 0.000 1.380 19.175
Cu 1.380 0.000 33.382
Cu 1.380 0.000 14.478
Cu 1.380 0.000 23.898
Cu 0.000 1.380 12.892
Cu 0.000 1.380 22.325
Cu 1.380 0.000 30.181
Cu 0.000 1.380 9.692
Cu 0.000 1.380 25.472
Cu 0.000 1.380 34.985
Cu 1.380 0.000 20.749
Cu 0.000 1.380 31.772
Cu 1.380 0.000 17.601
Cu 1.380 0.000 8.089
Cu 0.000 1.380 16.050
Cu 0.000 1.380 28.595
Pb 1.380 0.000 37.258
Pb 0.000 1.380 5.816

No. 5
6
Lattice="-2.070 -4.239 -1.483 4.130 -0.084 2.719 -4.621 -0.197 7.015" Properties=species:S:1:pos:R:3 comment="Sr2AgBi2Au, relaxed, DFT GGA-PBE" energy_ev_per_cell=-21.62 pbc="T T T"
Bi -2.173 -0.093 3.299
Bi -2.429 -1.660 8.138
Sr -1.133 -2.902 1.632
Sr -3.432 -3.000 5.123
Au -0.403 -1.574 5.063
Ag -0.173 -0.007 0.262

No. 6
4
Lattice="-0.757 2.614 3.883 0.172 4.732 -0.256 -3.982 2.543 0.408" Properties=species:S:1:pos:R:3 comment="LuCuSnPt, relaxed, DFT GGA-PBE" magnetic_moment_mub_per_cell=0.00 e_above_lowest_polymorph_ev_per_fu=0.94 pbc="T T T"
Pt -2.284 4.944 2.017
Cu -3.425 7.416 3.026
Sn 0.000 0.000 0.000
Lu -1.142 2.472 1.009

No. 7
8
Lattice="3.416 0.000 0.000 -1.708 2.958 0.000 0.000 0.000 13.665" Properties=species:S:1:pos:R:3 comment="Zr4InPC2, relaxed, DFT GGA-PBE" magnetic_moment_mub_per_cell=0.00 energy_ev_per_cell=-67.76 pbc="T T T"
C 0.000 1.972 3.126
C 0.000 1.972 10.540
Zr 0.000 0.000 9.331
Zr 1.708 0.986 11.857
Zr 0.000 0.000 4.335
Zr 1.708 0.986 1.809
In 1.708 0.986 6.833
P 0.000 0.000 0.000

No. 8
9
Lattice="-7.969 0.423 -1.306 4.092 -6.653 -2.091 -0.673 -1.547 3.605" Properties=species:S:1:pos:R:3 comment="Tm3Zr3Bi2Os, relaxed, DFT GGA-PBE" magnetic_moment_mub_per_cell=0.26 e_above_lowest_polymorph_ev_per_fu=0.00 pbc="T T T"
Tm -2.370 -3.809 -2.077
Tm 1.591 -2.586 -0.813
Tm -3.097 0.164 -0.508
Zr 2.800 -5.873 0.200
Zr -1.242 -2.229 1.009
Zr -6.444 -0.449 0.802
Bi -0.265 -5.068 -0.027
Bi -4.285 -2.709 0.235
Os 0.000 0.000 0.000